# 1
The following is a meta-GGA SCAN calculation of a PBEsol-optimized structure of SnBNF2, from Alexandria.

a = 2.7451 Å, b = 4.4949 Å, c = 4.4949 Å
α = 90.00°, β = 90.00°, γ = 90.00°
Last column: nearest neighbours and their distance in Å.
Fractional coordinates of all 5 atoms:
N 0.5000 0.0000 0.0000  2 B 1.37
B 0.0000 0.0000 0.0000  2 N 1.37
F 0.0000 0.0000 0.5000  2 B 2.25
Sn 0.5000 0.5000 0.5000  8 F 2.63, 2 Sn 2.75
F 0.0000 0.5000 0.0000  2 B 2.25

D(E_F): 0.7 states/eV/cell
Formation energy from raw total energies: -1.0920 eV/atom
Space-group type: No. 123
DFT total energy: -65.182 eV per cell

---

# 2
The following is a meta-GGA SCAN calculation of a PBEsol-optimized structure of BaSr2Pt2, from Alexandria.

a = 4.4411 Å, b = 8.0726 Å, c = 8.0726 Å
α = 90.00°, β = 90.00°, γ = 90.00°
Last column: nearest neighbours and their distance in Å.
Fractional coordinates of all 10 atoms:
Pt 0.0000 0.6200 0.1200  1 Pt 2.74
Sr 0.5000 0.6609 0.8391  6 Pt 3.19-3.34
Sr 0.5000 0.8391 0.3391  6 Pt 3.19-3.34
Ba 0.0000 0.0000 0.0000  4 Pt 3.22
Pt 0.0000 0.8800 0.6200  1 Pt 2.74
Ba 0.0000 0.5000 0.5000  4 Pt 3.22
Sr 0.5000 0.3391 0.1609  6 Pt 3.19-3.34
Sr 0.5000 0.1609 0.6609  6 Pt 3.19-3.34
Pt 0.0000 0.1200 0.3800  1 Pt 2.74
Pt 0.0000 0.3800 0.8800  1 Pt 2.74

D(E_F): 1.9 states/eV/cell
Space-group type: No. 127
Energy relative to the elements: -772 meV/atom
DFT total energy: -456.694 eV per cell

---

# 3
The following is a meta-GGA SCAN calculation of a PBEsol-optimized structure of Sr3MgTe, from Alexandria.

a = 6.1395 Å, b = 6.1395 Å, c = 6.1395 Å
α = 90.00°, β = 90.00°, γ = 90.00°
Last column: nearest neighbours and their distance in Å.
Fractional coordinates of all 5 atoms:
Sr 0.0000 0.0000 0.5000  2 Mg 3.07
Sr 0.5000 0.0000 0.0000  2 Mg 3.07
Te 0.5000 0.5000 0.5000  12 Sr 4.34
Mg 0.0000 0.0000 0.0000  6 Sr 3.07
Sr 0.0000 0.5000 0.0000  2 Mg 3.07

D(E_F): 3.8 states/eV/cell
Formation energy from raw total energies: -0.0624 eV/atom
Space-group type: No. 221
DFT total energy: -109.363 eV per cell

---

# 4
The following is a meta-GGA SCAN calculation of a PBEsol-optimized structure of In2FeCu, from Alexandria.

a = 3.1467 Å, b = 3.1467 Å, c = 6.3601 Å
α = 90.00°, β = 90.00°, γ = 90.00°
Last column: nearest neighbours and their distance in Å.
Fractional coordinates of all 4 atoms:
In 0.0000 0.0000 0.7435  4 Fe 2.71, 4 Cu 2.76
Cu 0.5000 0.5000 0.0000  8 In 2.76
In 0.0000 0.0000 0.2565  4 Fe 2.71, 4 Cu 2.76
Fe 0.5000 0.5000 0.5000  8 In 2.71

D(E_F): 2.2 states/eV/cell
Energy above the most stable polymorph in this dataset: 0.0562 eV/atom
Space-group type: No. 123
Energy relative to the elements: 262 meV/atom
DFT total energy: -99.052 eV per cell

---

# 5
The following is a meta-GGA SCAN calculation of a PBEsol-optimized structure of Cd4OF6, from Alexandria.

a = 5.4199 Å, b = 7.5113 Å, c = 7.5113 Å
α = 90.00°, β = 90.00°, γ = 90.00°
Last column: nearest neighbours and their distance in Å.
Fractional coordinates of all 22 atoms:
Cd 0.8027 0.2485 0.5000  1 O 2.17, 6 F 2.24-2.42
Cd 0.1973 0.5000 0.7515  1 O 2.17, 6 F 2.24-2.42
F 0.9266 0.5000 0.0000  4 Cd 2.24-2.37
F 0.5000 0.7135 0.7135  4 Cd 2.31-2.42
Cd 0.3027 0.0000 0.7485  1 O 2.17, 6 F 2.24-2.42
F 0.5000 0.7135 0.2865  4 Cd 2.31-2.42
F 0.5734 0.0000 0.5000  4 Cd 2.24-2.37
Cd 0.6973 0.2515 0.0000  1 O 2.17, 6 F 2.24-2.42
Cd 0.1973 0.5000 0.2485  1 O 2.17, 6 F 2.24-2.42
O 0.5000 0.0000 0.0000  4 Cd 2.17
F 0.0000 0.2135 0.7865  4 Cd 2.31-2.42
F 0.0000 0.2135 0.2135  4 Cd 2.31-2.42
F 0.0734 0.0000 0.5000  4 Cd 2.24-2.37
F 0.0000 0.7865 0.2135  4 Cd 2.31-2.42
F 0.5000 0.2865 0.2865  4 Cd 2.31-2.42
F 0.5000 0.2865 0.7135  4 Cd 2.31-2.42
Cd 0.8027 0.7515 0.5000  1 O 2.17, 6 F 2.24-2.42
F 0.0000 0.7865 0.7865  4 Cd 2.31-2.42
Cd 0.6973 0.7485 0.0000  1 O 2.17, 6 F 2.24-2.42
Cd 0.3027 0.0000 0.2515  1 O 2.17, 6 F 2.24-2.42
O 0.0000 0.5000 0.5000  4 Cd 2.17
F 0.4266 0.5000 0.0000  4 Cd 2.24-2.37

D(E_F): 0.0 states/eV/cell
Formation energy from raw total energies: -2.1954 eV/atom
Space-group type: No. 137
DFT total energy: -346.556 eV per cell

---

# 6
The following is a meta-GGA SCAN calculation of a PBEsol-optimized structure of TlSiI2N, from Alexandria.

a = 3.3828 Å, b = 6.0084 Å, c = 6.0084 Å
α = 90.00°, β = 90.00°, γ = 90.00°
Last column: nearest neighbours and their distance in Å.
Fractional coordinates of all 5 atoms:
I 0.0000 0.0000 0.5000  2 Si 3.00
I 0.0000 0.5000 0.0000  2 Si 3.00
Tl 0.5000 0.5000 0.5000  2 Tl 3.38, 8 I 3.45
Si 0.0000 0.0000 0.0000  2 N 1.69
N 0.5000 0.0000 0.0000  2 Si 1.69

D(E_F): 1.5 states/eV/cell
Formation energy from raw total energies: 0.0050 eV/atom
Space-group type: No. 123
DFT total energy: -165.124 eV per cell

---

# 7
The following is a meta-GGA SCAN calculation of a PBEsol-optimized structure of Ta2FeO6, from Alexandria.

a = 4.7732 Å, b = 4.7732 Å, c = 9.0181 Å
α = 90.00°, β = 90.00°, γ = 90.00°
Last column: nearest neighbours and their distance in Å.
Fractional coordinates of all 18 atoms:
Ta 0.0000 0.0000 0.3298  6 O 1.97-2.01
O 0.1923 0.1923 0.5000  2 Ta 2.01, 1 Fe 2.08
O 0.3076 0.6924 0.0000  2 Ta 2.01, 1 Fe 2.08
Ta 0.5000 0.5000 0.1702  6 O 1.97-2.01
O 0.7060 0.2940 0.6745  2 Ta 1.97-1.98, 1 Fe 2.10
O 0.2940 0.7060 0.3255  2 Ta 1.97-1.98, 1 Fe 2.10
O 0.2940 0.7060 0.6745  2 Ta 1.97-1.98, 1 Fe 2.10
O 0.7940 0.7940 0.1745  2 Ta 1.97-1.98, 1 Fe 2.10
O 0.2060 0.2060 0.1745  2 Ta 1.97-1.98, 1 Fe 2.10
O 0.7060 0.2940 0.3255  2 Ta 1.97-1.98, 1 Fe 2.10
O 0.6924 0.3076 0.0000  2 Ta 2.01, 1 Fe 2.08
O 0.8076 0.8076 0.5000  2 Ta 2.01, 1 Fe 2.08
Ta 0.5000 0.5000 0.8298  6 O 1.97-2.01
O 0.7940 0.7940 0.8255  2 Ta 1.97-1.98, 1 Fe 2.10
Fe 0.5000 0.5000 0.5000  6 O 2.08-2.10
Ta 0.0000 0.0000 0.6702  6 O 1.97-2.01
Fe 0.0000 0.0000 0.0000  6 O 2.08-2.10
O 0.2060 0.2060 0.8255  2 Ta 1.97-1.98, 1 Fe 2.10

Formation energy from raw total energies: -2.7035 eV/atom
Space-group type: No. 136
DFT total energy: -426.029 eV per cell

---

# 8
The following is a meta-GGA SCAN calculation of a PBEsol-optimized structure of SrTi2As2, from Alexandria.

a = 4.0486 Å, b = 4.0486 Å, c = 6.9787 Å
α = 106.86°, β = 106.86°, γ = 90.00°
Last column: nearest neighbours and their distance in Å.
Fractional coordinates of all 5 atoms:
Sr 0.0000 0.0000 0.0000  8 As 3.28
Ti 0.7500 0.2500 0.5000  4 As 2.56, 4 Ti 2.86
As 0.6265 0.6265 0.2530  4 Ti 2.56
Ti 0.2500 0.7500 0.5000  4 As 2.56, 4 Ti 2.86
As 0.3735 0.3735 0.7470  4 Ti 2.56

D(E_F): 3.9 states/eV/cell
Space-group type: No. 139
Energy relative to the elements: -1000 meV/atom
DFT total energy: -99.715 eV per cell